1) An optimized crystal structure of DyPaIn, computed with PBE.

As for the size of the total moment: 0.0 Bohr magnetons per cell. The calculated volume is 26.38 A^3/atom.

It has space group I4mm (No. 107), with a = 3.2444 Å, b = 3.2444 Å, c = 15.0359 Å, α = 90.00°, β = 90.00° and γ = 90.00°. Symmetry generates all atoms from Dy at (0.0000, 0.0000, 0.0000), Pa at (0.0000, 0.0000, 0.6744) and In at (0.0000, 0.0000, 0.3373).

***

2) An optimized crystal structure of DyPaIn, computed with PBE.

As for the size of the total moment: 0.7 Bohr magnetons per cell. The calculated volume is 25.56 A^3/atom.

It has space group P-6m2 (No. 187), with a = 5.3454 Å, b = 5.3454 Å, c = 3.0991 Å, α = 90.00°, β = 90.00° and γ = 120.00°. Symmetry generates all atoms from Dy at (0.0000, 0.0000, 0.0000), Pa at (0.3333, 0.6667, 0.0000) and In at (0.6667, 0.3333, 0.5000).

***

Most stable to least stable, the ends of the list are 1) and 2).

***

1) An optimized crystal structure of Dy2PaIn, computed with PBE.

As for the size of the total moment: 0.0 Bohr magnetons per cell. The calculated volume is 26.93 A^3/atom.

It has space group P4/mmm (No. 123), with a = 4.8564 Å, b = 4.8564 Å, c = 4.5666 Å, α = 90.00°, β = 90.00° and γ = 90.00°. Symmetry generates all atoms from Dy at (0.0000, 0.5000, 0.0000), Pa at (0.0000, 0.0000, 0.5000) and In at (0.5000, 0.5000, 0.5000).

***

2) An optimized crystal structure of Dy2PaIn, computed with PBE.

As for the size of the total moment: 0.0 Bohr magnetons per cell. The calculated volume is 29.66 A^3/atom.

It has space group R-3m (No. 166, hexagonal axes), with a = 3.4003 Å, b = 3.4003 Å, c = 35.5490 Å, α = 90.00°, β = 90.00° and γ = 120.00°. Symmetry generates all atoms from Dy at (0.0000, 0.0000, 0.0900), Pa at (0.0000, 0.0000, 0.5000) and In at (0.0000, 0.0000, 0.0000).

***

Most stable to least stable, the ends of the list are 1) and 2).

***

1) An optimized crystal structure of Dy3InPb2, computed with PBE.

As for the size of the total moment: 0.0 Bohr magnetons per cell. The calculated volume is 28.70 A^3/atom.

It has space group Pnma (No. 62), with a = 12.6080 Å, b = 4.7240 Å, c = 11.5662 Å, α = 90.00°, β = 90.00° and γ = 90.00°. Symmetry generates all atoms from Dy at (0.0321, 0.2500, 0.1245), Dy at (0.1432, 0.7500, 0.5797), Dy at (0.2005, 0.2500, 0.8197), In at (0.1494, 0.2500, 0.3612), Pb at (0.0037, 0.7500, 0.3290) and Pb at (0.1778, 0.7500, 0.0400).

***

2) An optimized crystal structure of Dy3InPb2, computed with PBE.

As for the size of the total moment: 0.0 Bohr magnetons per cell. The calculated volume is 28.04 A^3/atom.

It has space group C2/c (No. 15), with a = 16.7751 Å, b = 6.3826 Å, c = 6.4208 Å, α = 90.00°, β = 101.74° and γ = 90.00°. Symmetry generates all atoms from Dy at (0.0000, 0.1267, 0.2500), Dy at (0.1679, 0.3850, 0.5932), In at (0.0000, 0.3804, 0.7500) and Pb at (0.1631, 0.1119, 0.0691).

***

Most stable to least stable, the ends of the list are 2) and 1).

***

1) An optimized crystal structure of DyInPb, computed with PBE.

As for the size of the total moment: 0.0 Bohr magnetons per cell. The calculated volume is 27.84 A^3/atom.

It has space group I4mm (No. 107), with a = 3.8134 Å, b = 3.8134 Å, c = 11.4859 Å, α = 90.00°, β = 90.00° and γ = 90.00°. Symmetry generates all atoms from Dy at (0.0000, 0.0000, 0.0000), In at (0.0000, 0.0000, 0.6665) and Pb at (0.0000, 0.0000, 0.3173).

***

2) An optimized crystal structure of DyInPb, computed with PBE.

As for the size of the total moment: 0.0 Bohr magnetons per cell. The calculated volume is 28.03 A^3/atom.

It has space group Cmcm (No. 63), with a = 3.5507 Å, b = 20.0935 Å, c = 4.7138 Å, α = 90.00°, β = 90.00° and γ = 90.00°. Symmetry generates all atoms from Dy at (0.0000, 0.1111, 0.2500), In at (0.0000, 0.4590, 0.2500) and Pb at (0.0000, 0.3017, 0.2500).

***

3) An optimized crystal structure of DyInPb, computed with PBE.

As for the size of the total moment: 0.0 Bohr magnetons per cell. The calculated volume is 28.22 A^3/atom.

It has space group P6_3/mmc (No. 194), with a = 5.4284 Å, b = 5.4284 Å, c = 6.6352 Å, α = 90.00°, β = 90.00° and γ = 120.00°. Symmetry generates all atoms from Dy at (0.3333, 0.6667, 0.2500), In at (0.3333, 0.6667, 0.7500) and Pb at (0.0000, 0.0000, 0.0000).

***

4) An optimized crystal structure of DyInPb, computed with PBE.

As for the size of the total moment: 0.0 Bohr magnetons per cell. The calculated volume is 27.89 A^3/atom.

It has space group P3m1 (No. 156), with a = 5.2367 Å, b = 5.2367 Å, c = 3.5235 Å, α = 90.00°, β = 90.00° and γ = 120.00°. Symmetry generates all atoms from Dy at (0.0000, 0.0000, 0.0000), In at (0.3333, 0.6667, 0.6117) and Pb at (0.6667, 0.3333, 0.3971).

***

Most stable to least stable, the ends of the list are 2) and 1).

***

1) An optimized crystal structure of Dy2InPb2, computed with PBE.

As for the size of the total moment: 0.0 Bohr magnetons per cell. The calculated volume is 32.37 A^3/atom.

It has space group Fddd (No. 70, origin choice 2), with a = 4.9801 Å, b = 12.7217 Å, c = 20.4352 Å, α = 90.00°, β = 90.00° and γ = 90.00°. Symmetry generates all atoms from Dy at (0.1250, 0.2735, 0.1250), In at (0.1250, 0.1250, 0.6250) and Pb at (0.0000, 0.0000, 0.5000).

***

2) An optimized crystal structure of Dy2InPb2, computed with PBE.

As for the size of the total moment: 0.0 Bohr magnetons per cell. The calculated volume is 31.62 A^3/atom.

It has space group Pbam (No. 55), with a = 5.0884 Å, b = 17.3486 Å, c = 3.5818 Å, α = 90.00°, β = 90.00° and γ = 90.00°. Symmetry generates all atoms from Dy at (0.0013, 0.1807, 0.0000), In at (0.0000, 0.0000, 0.0000) and Pb at (0.0012, 0.3625, 0.5000).

***

Most stable to least stable, the ends of the list are 2) and 1).

***

1) An optimized crystal structure of PmDyInPb, computed with PBE.

As for the size of the total moment: 0.0 Bohr magnetons per cell. The calculated volume is 28.20 A^3/atom.

It has space group I-4m2 (No. 119), with a = 5.0215 Å, b = 5.0215 Å, c = 8.9460 Å, α = 90.00°, β = 90.00° and γ = 90.00°. Symmetry generates all atoms from Pm at (0.0000, 0.0000, 0.0000), Dy at (0.0000, 0.0000, 0.5000), In at (0.0000, 0.5000, 0.7500) and Pb at (0.0000, 0.5000, 0.2500).

***

2) An optimized crystal structure of PmDyInPb, computed with PBE.

As for the size of the total moment: 0.0 Bohr magnetons per cell. The calculated volume is 28.58 A^3/atom.

It has space group F-43m (No. 216), with a = 7.7040 Å, b = 7.7040 Å, c = 7.7040 Å, α = 90.00°, β = 90.00° and γ = 90.00°. Symmetry generates all atoms from Pm at (0.0000, 0.0000, 0.0000), Dy at (0.0000, 0.0000, 0.5000), In at (0.2500, 0.2500, 0.7500) and Pb at (0.2500, 0.2500, 0.2500).

***

Most stable to least stable, the ends of the list are 1) and 2).